The following is a DFT calculation (GGA-PBEsol) of crystalline Cs2Tl2Cl at its relaxed geometry.

magnetization: 0.0000 μB per atom
formation energy from raw total energies: -0.764 eV per atom

POSCAR file:
```
Cs2Tl2Cl
1.0
-2.156 2.156 10.703
2.156 -2.156 10.703
2.156 2.156 -10.703
Cs Tl Cl
2 2 1
direct
0.089 0.089 0.000 Cs
0.911 0.911 0.000 Cs
0.250 0.750 0.500 Tl
0.750 0.250 0.500 Tl
0.500 0.500 0.000 Cl
```